--- A ---
ZnWCl2 | PBE | optimized geometry

Computed properties:
The calculation puts the magnetic moment at 2.8 μB/f.u.

a = 4.0769 Å, b = 4.2343 Å, c = 4.2343 Å
α = 90.00°, β = 90.00°, γ = 90.00°
Site moments in Bohr magnetons follow the coordinates.
Atoms (fractional coordinates):
Zn 0.5000 0.0000 0.5000  -0.04
W 0.5000 0.5000 0.0000  2.22
Cl 0.0000 0.0000 0.0000  -0.02
Cl 0.0000 0.5000 0.5000  -0.02

--- B ---
ZnWCl2 | PBE | optimized geometry

Computed properties:
The calculation puts the magnetic moment at 0.0 μB/f.u.

a = 4.2496 Å, b = 2.9358 Å, c = 5.6958 Å
α = 100.82°, β = 90.00°, γ = 90.00°
Atoms (fractional coordinates):
Zn 0.5000 0.7500 0.7500
W 0.5000 0.2500 0.2500
Cl 0.0000 0.1712 0.0087
Cl 0.0000 0.3288 0.4913

--- C ---
ZnWCl2 | PBE | optimized geometry

Computed properties:
The calculation puts the magnetic moment at 0.9 μB/f.u.

a = 3.2151 Å, b = 3.2151 Å, c = 10.3833 Å
α = 90.00°, β = 90.00°, γ = 126.16°
Site moments in Bohr magnetons follow the coordinates.
Atoms (fractional coordinates):
Zn 0.5000 0.5000 0.7500  0.00
W 0.5000 0.5000 0.2500  0.70
Cl 0.0000 0.0000 0.0609  0.02
Cl 0.0000 0.0000 0.4391  0.02

Which of them is the most stable, and which is the least stable? C and A, in that order.

--- A ---
ZnWCl3 | PBE | optimized geometry

Computed properties:
The calculation puts the magnetic moment at 5.0 μB/f.u.

a = 4.8483 Å, b = 4.8483 Å, c = 4.8483 Å
α = 90.00°, β = 90.00°, γ = 90.00°
Site moments in Bohr magnetons follow the coordinates.
Atoms (fractional coordinates):
Zn 0.0000 0.0000 0.0000  0.01
W 0.5000 0.5000 0.5000  3.56
Cl 0.0000 0.5000 0.0000  0.02
Cl 0.0000 0.0000 0.5000  0.02
Cl 0.5000 0.0000 0.0000  0.01

--- B ---
ZnWCl3 | PBE | optimized geometry

Computed properties:
The calculation puts the magnetic moment at 1.7 μB/f.u.

a = 4.8477 Å, b = 4.8477 Å, c = 4.8477 Å
α = 90.00°, β = 90.00°, γ = 90.00°
Site moments in Bohr magnetons follow the coordinates.
Atoms (fractional coordinates):
Zn 0.5000 0.5000 0.5000  -0.04
W 0.0000 0.0000 0.0000  1.29
Cl 0.0000 0.5000 0.0000  0.02
Cl 0.0000 0.0000 0.5000  0.00
Cl 0.5000 0.0000 0.0000  0.09

Which of them is the most stable, and which is the least stable? B and A, in that order.